Entry 1:
The following is a GGA-PBE calculation of a geometry-optimized SrCuNi2H8 structure, from Alexandria.

Computed properties:
* VASP energy: -136.28 eV for the cell shown
* V: 8.4 Å³/atom

a b c (Å): 4.4993 4.4993 17.1481
angles (deg): 90.00 90.00 120.00
Space group R-3 (No. 148, hexagonal axes)
Unique sites:
Sr 0.0000 0.0000 0.0000 [3 per cell]
Cu 0.0000 0.0000 0.5000 [3 per cell]
Ni 0.0000 0.0000 0.1960 [6 per cell]
H 0.0000 0.0000 0.2895 [6 per cell]
H 0.0067 0.7077 0.1221 [18 per cell]

---

Entry 2:
The following is a GGA-PBE calculation of a geometry-optimized Ta2CuNiH structure, from Alexandria.

Computed properties:
* polymorph energy (0 for the lowest one): 34.0 meV/atom
* V: 12.3 Å³/atom

a b c (Å): 4.019 4.019 3.810
angles (deg): 90.00 90.00 90.00
Space group P4/mmm (No. 123)
Unique sites:
Ta 0.000 0.500 0.000 [2 per cell]
Cu 0.000 0.000 0.500 [1 per cell]
Ni 0.500 0.500 0.500 [1 per cell]
H 0.000 0.000 0.000 [1 per cell]

---

Entry 3:
The following is a GGA-PBE calculation of a geometry-optimized Ta2CuNiH structure, from Alexandria.

Computed properties:
* polymorph energy (0 for the lowest one): 0.0 meV/atom
* V: 12.3 Å³/atom

a b c (Å): 4.066 4.066 3.711
angles (deg): 90.00 90.00 90.00
Space group P4/mmm (No. 123)
Unique sites:
Ta 0.000 0.500 0.000 [2 per cell]
Cu 0.000 0.000 0.500 [1 per cell]
Ni 0.500 0.500 0.500 [1 per cell]
H 0.500 0.500 0.000 [1 per cell]

---

Entry 4:
The following is a GGA-PBE calculation of a geometry-optimized CuTc2NiH structure, from Alexandria.

Computed properties:
* VASP energy: -33.00 eV for the cell shown
* V: 10.9 Å³/atom

a b c (Å): 3.782 3.782 3.826
angles (deg): 90.00 90.00 90.00
Space group P4/mmm (No. 123)
Unique sites:
Cu 0.000 0.000 0.000 [1 per cell]
Tc 0.000 0.500 0.500 [2 per cell]
Ni 0.500 0.500 0.000 [1 per cell]
H 0.500 0.500 0.500 [1 per cell]

---

Entry 5:
The following is a GGA-PBE calculation of a geometry-optimized ThCuNiH6 structure, from Alexandria.

Computed properties:
* VASP energy: -39.75 eV for the cell shown
* V: 8.1 Å³/atom

a b c (Å): 4.4219 4.4219 4.3223
angles (deg): 90.00 90.00 120.00
Space group P-6m2 (No. 187)
Unique sites:
Th 0.0000 0.0000 0.0000 [1 per cell]
Cu 0.3333 0.6667 0.5000 [1 per cell]
Ni 0.6667 0.3333 0.5000 [1 per cell]
H 0.5061 0.0123 0.2334 [6 per cell]

---

Entry 6:
The following is a GGA-PBE calculation of a geometry-optimized ThCuNi2H8 structure, from Alexandria.

Computed properties:
* VASP energy: -154.68 eV for the cell shown
* V: 8.2 Å³/atom

a b c (Å): 4.3408 4.3408 18.0082
angles (deg): 90.00 90.00 120.00
Space group R-3 (No. 148, hexagonal axes)
Unique sites:
Th 0.0000 0.0000 0.0000 [3 per cell]
Cu 0.0000 0.0000 0.5000 [3 per cell]
Ni 0.0000 0.0000 0.1749 [6 per cell]
H 0.0000 0.0000 0.3430 [6 per cell]
H 0.0165 0.3797 0.5528 [18 per cell]

---

Entry 7:
The following is a GGA-PBE calculation of a geometry-optimized TiCuNi2H structure, from Alexandria.

Computed properties:
* VASP energy: -27.67 eV for the cell shown
* V: 10.4 Å³/atom

a b c (Å): 3.674 3.674 3.839
angles (deg): 90.00 90.00 90.00
Space group P4/mmm (No. 123)
Unique sites:
Ti 0.000 0.000 0.000 [1 per cell]
Cu 0.500 0.500 0.000 [1 per cell]
Ni 0.000 0.500 0.500 [2 per cell]
H 0.000 0.000 0.500 [1 per cell]

---

Entry 8:
The following is a GGA-PBE calculation of a geometry-optimized V2CuNiH structure, from Alexandria.

Computed properties:
* polymorph energy (0 for the lowest one): 0.0 meV/atom
* V: 10.3 Å³/atom

a b c (Å): 3.711 3.711 3.736
angles (deg): 90.00 90.00 90.00
Space group P4/mmm (No. 123)
Unique sites:
V 0.000 0.500 0.000 [2 per cell]
Cu 0.000 0.000 0.500 [1 per cell]
Ni 0.500 0.500 0.500 [1 per cell]
H 0.500 0.500 0.000 [1 per cell]

---

Entry 9:
The following is a GGA-PBE calculation of a geometry-optimized V2CuNiH structure, from Alexandria.

Computed properties:
* polymorph energy (0 for the lowest one): 1488.6 meV/atom
* V: 16.3 Å³/atom

a b c (Å): 4.311 4.311 4.388
angles (deg): 90.00 90.00 90.00
Space group P4/mmm (No. 123)
Unique sites:
V 0.000 0.500 0.000 [2 per cell]
Cu 0.000 0.000 0.500 [1 per cell]
Ni 0.000 0.000 0.000 [1 per cell]
H 0.500 0.500 0.500 [1 per cell]

---

Entry 10:
The following is a GGA-PBE calculation of a geometry-optimized V2CuNiH structure, from Alexandria.

Computed properties:
* polymorph energy (0 for the lowest one): 25.5 meV/atom
* V: 10.3 Å³/atom

a b c (Å): 3.681 3.681 3.800
angles (deg): 90.00 90.00 90.00
Space group P4/mmm (No. 123)
Unique sites:
V 0.000 0.500 0.000 [2 per cell]
Cu 0.000 0.000 0.500 [1 per cell]
Ni 0.500 0.500 0.500 [1 per cell]
H 0.000 0.000 0.000 [1 per cell]

---

Entry 11:
The following is a GGA-PBE calculation of a geometry-optimized Y2CuNiH structure, from Alexandria.

Computed properties:
* polymorph energy (0 for the lowest one): 0.0 meV/atom
* V: 16.6 Å³/atom

a b c (Å): 4.880 4.880 3.491
angles (deg): 90.00 90.00 90.00
Space group P4/mmm (No. 123)
Unique sites:
Y 0.000 0.500 0.000 [2 per cell]
Cu 0.000 0.000 0.500 [1 per cell]
Ni 0.500 0.500 0.500 [1 per cell]
H 0.500 0.500 0.000 [1 per cell]

---

Entry 12:
The following is a GGA-PBE calculation of a geometry-optimized Y2CuNi6H structure, from Alexandria.

Computed properties:
* VASP energy: -173.37 eV for the cell shown
* V: 13.5 Å³/atom

a b c (Å): 5.2231 5.2231 17.1135
angles (deg): 90.00 90.00 120.00
Space group R-3m (No. 166, hexagonal axes)
Unique sites:
Y 0.0000 0.0000 0.2205 [6 per cell]
Cu 0.0000 0.0000 0.5000 [3 per cell]
Ni 0.0103 0.5052 0.2781 [18 per cell]
H 0.0000 0.0000 0.0000 [3 per cell]